# 1
Below is a geometry-optimized Th2Zn5Pd5 structure, with properties calculated at the PBE level.

a = 4.448 Å, b = 5.258 Å, c = 9.287 Å
α = 90.00°, β = 90.00°, γ = 90.00°
Space group Pmmm (No. 47)
Inequivalent atoms, fractional coordinates:
Th 0.000 0.000 0.000 x1
Th 0.000 0.500 0.500 x1
Zn 0.500 0.000 0.500 x1
Zn 0.500 0.250 0.249 x4
Pd 0.000 0.000 0.334 x2
Pd 0.000 0.500 0.178 x2
Pd 0.500 0.500 0.000 x1

Values from the calculation:
- Calculated volume: 18.1 A^3/atom
- Calculated formation energy: -0.62 eV/atom


# 2
Below is a geometry-optimized Sr2InGa2 structure, with properties calculated at the PBE level.

a = 3.850 Å, b = 3.850 Å, c = 20.577 Å
α = 90.00°, β = 90.00°, γ = 90.00°
Space group I4/mmm (No. 139)
Inequivalent atoms, fractional coordinates:
Sr 0.000 0.000 0.109 x4
In 0.000 0.000 0.500 x2
Ga 0.000 0.500 0.250 x4

Values from the calculation:
- Calculated volume: 30.5 A^3/atom
- Calculated formation energy: -0.24 eV/atom


# 3
Below is a geometry-optimized Y2SbW structure, with properties calculated at the PBE level.

a = 3.4913 Å, b = 3.4913 Å, c = 29.2750 Å
α = 90.00°, β = 90.00°, γ = 120.00°
Space group R3m (No. 160, hexagonal axes)
Inequivalent atoms, fractional coordinates:
Y 0.0000 0.0000 0.0000 x3
Y 0.0000 0.0000 0.2281 x3
Sb 0.0000 0.0000 0.4756 x3
W 0.0000 0.0000 0.7451 x3

Values from the calculation:
- Raw total energy: -7.23 eV/atom
- Calculated volume: 25.8 A^3/atom